# 1
## Pu2TiGa (GGA-PBE)

Data for Pu2TiGa after structural relaxation.

Lattice parameters (Å, degrees): 5.006 5.006 5.006 60.00 60.00 60.00
Element x y z (fractional)
Pu1 0.250 0.250 0.250
Pu2 0.750 0.750 0.750
Ti1 0.000 0.000 0.000
Ga1 0.500 0.500 0.500

Values from the calculation:
Relative energy among the computed polymorphs = 229 meV/atom
Energy of formation = 95 meV per atom
Crystal system = cubic

=====

# 2
## PuTiGa (GGA-PBE)

Data for PuTiGa after structural relaxation.

Lattice parameters (Å, degrees): 4.712 4.712 3.125 90.00 90.00 120.00
Element x y z (fractional)
Pu1 0.000 0.000 0.000
Ti1 0.333 0.667 0.498
Ga1 0.667 0.333 0.502

Values from the calculation:
Relative energy among the computed polymorphs = 0 meV/atom
Energy of formation = -97 meV per atom
Crystal system = trigonal

=====

# 3
## PuTiGa (GGA-PBE)

Data for PuTiGa after structural relaxation.

Lattice parameters (Å, degrees): 13.767 13.767 13.767 168.67 168.67 16.06
Element x y z (fractional)
Pu1 0.043 0.043 0.000
Pu2 0.957 0.957 0.000
Ti1 0.210 0.210 0.000
Ti2 0.790 0.790 0.000
Ga1 0.368 0.368 0.000
Ga2 0.632 0.632 0.000

Values from the calculation:
Relative energy among the computed polymorphs = 40 meV/atom
Energy of formation = -57 meV per atom
Crystal system = tetragonal

=====

# 4
## PuTiGa2 (GGA-PBE)

Data for PuTiGa2 after structural relaxation.

Lattice parameters (Å, degrees): 9.957 9.957 9.957 16.99 16.99 16.99
Element x y z (fractional)
Pu1 0.000 0.000 0.000
Ti1 0.500 0.500 0.500
Ga1 0.243 0.243 0.243
Ga2 0.757 0.757 0.757

Values from the calculation:
Relative energy among the computed polymorphs = 210 meV/atom
Energy of formation = -152 meV per atom
Crystal system = trigonal